Record 1
24
Lattice="10.676 0.000 0.000 0.000 4.005 0.000 0.000 0.000 14.227" Properties=species:S:1:pos:R:3 comment="PBE-GGA GdTlZnS3, optimized geometry" magmom_total_mub_per_cell=0.01 sg="Pnma, No. 62" pbc="T T T"
Gd 0.152 3.004 3.438
Gd 5.490 3.004 3.675
Gd 5.186 1.001 10.552
Gd 10.524 1.001 10.789
S 0.917 1.001 1.710
S 4.834 1.001 1.860
S 8.131 3.004 2.680
S 2.793 3.004 4.434
S 10.172 1.001 5.253
S 6.255 1.001 5.403
S 4.421 3.004 8.823
S 0.504 3.004 8.973
S 7.884 1.001 9.793
S 2.546 1.001 11.547
S 5.842 3.004 12.367
S 9.760 3.004 12.517
Tl 7.693 1.001 0.037
Tl 2.355 1.001 7.076
Tl 8.321 3.004 7.150
Tl 2.983 3.004 14.190
Zn 2.823 1.001 3.034
Zn 8.161 1.001 4.079
Zn 2.515 3.004 10.148
Zn 7.853 3.004 11.193

Record 2
24
Lattice="-2.084 6.317 9.035 -3.519 -2.081 0.643 5.913 -7.873 6.869" Properties=species:S:1:pos:R:3 comment="PBE-GGA GdTlZnS3, optimized geometry" magmom_total_mub_per_cell=0.00 sg="Pnma, No. 62" pbc="T T T"
Gd -0.871 1.160 5.645
Gd -0.966 3.058 11.263
Gd 1.276 -6.695 5.284
Gd 1.181 -4.798 10.902
S -3.545 1.782 6.343
S -3.587 3.079 10.307
S -0.152 -0.710 3.526
S -0.610 1.670 8.722
S -1.668 -1.247 6.809
S -0.250 -4.376 4.442
S 0.560 0.738 12.105
S 1.978 -2.391 9.739
S 0.920 -5.308 7.825
S 0.462 -2.927 13.021
S 3.897 -6.717 6.240
S 3.855 -5.420 10.205
Tl -2.929 -0.599 2.005
Tl -1.111 -1.249 9.846
Tl 1.421 -2.388 6.702
Tl 3.239 -3.039 14.542
Zn -3.013 1.586 8.620
Zn -1.385 -2.351 4.782
Zn 1.695 -1.286 11.766
Zn 3.323 -5.224 7.928

Record 3
12
Lattice="8.232 -2.043 0.000 8.232 2.043 0.000 -2.289 0.000 8.595" Properties=species:S:1:pos:R:3 comment="PBE-GGA GdTlZnS3, optimized geometry" magmom_total_mub_per_cell=0.00 sg="C2/m, No. 12" pbc="T T T"
Gd 12.735 0.000 3.466
Gd 1.441 0.000 5.129
S 8.232 0.000 0.000
S 5.261 0.000 1.835
S 9.967 0.000 3.216
S -1.145 0.000 4.298
S 4.209 0.000 5.379
S 8.915 0.000 6.760
Tl 2.155 0.000 0.556
Tl 12.021 0.000 8.039
Zn 7.576 0.000 2.430
Zn 6.600 0.000 6.165

Record 4
12
Lattice="4.004 0.000 0.000 2.002 7.128 0.000 0.000 0.000 10.659" Properties=species:S:1:pos:R:3 comment="PBE-GGA GdTlZnS3, optimized geometry" magmom_total_mub_per_cell=0.00 sg="Cmcm, No. 63" pbc="T T T"
Gd 0.000 0.000 0.000
Gd 0.000 0.000 5.330
S 4.004 5.341 0.697
S 4.004 0.857 2.665
S 4.004 5.341 4.633
S 2.002 1.787 6.026
S 2.002 6.271 7.995
S 2.002 1.787 9.963
Tl 2.002 3.516 2.665
Tl 4.004 3.612 7.995
Zn 4.004 6.570 2.665
Zn 2.002 0.558 7.995

Energy list, top to bottom, in eV per atom: -4.6650, -4.6260, -4.5181, -4.6642